(1)
Compound: RbNa2Tl4
Source: Alexandria
Functional: PBE
Structure: relaxed

Structure (CIF):
```
data_RbNa2Tl4
_chemical_formula_sum 'Rb1 Na2 Tl4'
_cell_length_a 6.4446
_cell_length_b 6.7529
_cell_length_c 6.7529
_cell_angle_alpha 76.95
_cell_angle_beta 61.86
_cell_angle_gamma 61.86
_symmetry_space_group_name_H-M 'P 1'
_symmetry_Int_Tables_number 1
loop_
_symmetry_equiv_pos_as_xyz
'x,y,z'
loop_
_atom_site_label
_atom_site_fract_x
_atom_site_fract_y
_atom_site_fract_z
Rb1 0.0000 0.0000 0.0000
Na1 0.7530 0.4974 0.4974
Na2 0.2470 0.5026 0.5026
Tl1 0.6834 0.6256 0.0008
Tl2 0.3166 0.3744 0.9992
Tl3 0.6834 0.0008 0.6256
Tl4 0.3166 0.9992 0.3744
```

Calculated values
DFT total energy	-1.9448	eV per atom
symmetry	C2/m (12)

(2)
Compound: RbNa3Tl
Source: Alexandria
Functional: PBE
Structure: relaxed

Structure (CIF):
```
data_RbNa3Tl
_chemical_formula_sum 'Rb1 Na3 Tl1'
_cell_length_a 6.1439
_cell_length_b 6.1439
_cell_length_c 6.1439
_cell_angle_alpha 90.00
_cell_angle_beta 90.00
_cell_angle_gamma 90.00
_symmetry_space_group_name_H-M 'P 1'
_symmetry_Int_Tables_number 1
loop_
_symmetry_equiv_pos_as_xyz
'x,y,z'
loop_
_atom_site_label
_atom_site_fract_x
_atom_site_fract_y
_atom_site_fract_z
Na1 0.0000 0.5000 0.0000
Na2 0.0000 0.0000 0.5000
Na3 0.5000 0.0000 0.0000
Tl1 0.0000 0.0000 0.0000
Rb1 0.5000 0.5000 0.5000
```

Calculated values
DFT total energy	-1.4521	eV per atom
symmetry	Pm-3m (221)
energy above the lowest structure with this stoichiometry	47	meV per atom

(3)
Compound: Rb2NaTl2
Source: Alexandria
Functional: PBE
Structure: relaxed

Structure (CIF):
```
data_Rb2NaTl2
_chemical_formula_sum 'Rb4 Na2 Tl4'
_cell_length_a 7.3744
_cell_length_b 6.8529
_cell_length_c 10.8146
_cell_angle_alpha 99.63
_cell_angle_beta 90.00
_cell_angle_gamma 122.55
_symmetry_space_group_name_H-M 'P 1'
_symmetry_Int_Tables_number 1
loop_
_symmetry_equiv_pos_as_xyz
'x,y,z'
loop_
_atom_site_label
_atom_site_fract_x
_atom_site_fract_y
_atom_site_fract_z
Rb1 0.5119 0.2936 0.1514
Rb2 0.2184 0.7064 0.3486
Rb3 0.4881 0.7064 0.8486
Rb4 0.7816 0.2936 0.6514
Na1 0.8856 0.0000 0.2500
Na2 0.1144 0.0000 0.7500
Tl1 0.7326 0.7264 0.4968
Tl2 0.0061 0.2736 0.0032
Tl3 0.2674 0.2736 0.5032
Tl4 0.9939 0.7264 0.9968
```

Calculated values
DFT total energy	-1.6294	eV per atom
symmetry	C2/c (15)
energy above the lowest structure with this stoichiometry	0	meV per atom

(4)
Compound: RbNa10Tl
Source: Alexandria
Functional: PBE
Structure: relaxed

Structure (CIF):
```
data_RbNa10Tl
_chemical_formula_sum 'Rb1 Na10 Tl1'
_cell_length_a 5.9873
_cell_length_b 6.9198
_cell_length_c 12.0047
_cell_angle_alpha 90.00
_cell_angle_beta 90.00
_cell_angle_gamma 90.00
_symmetry_space_group_name_H-M 'P 1'
_symmetry_Int_Tables_number 1
loop_
_symmetry_equiv_pos_as_xyz
'x,y,z'
loop_
_atom_site_label
_atom_site_fract_x
_atom_site_fract_y
_atom_site_fract_z
Rb1 0.0000 0.0000 0.0000
Na1 0.0000 0.0000 0.3534
Na2 0.0000 0.5000 0.7918
Na3 0.0000 0.5000 0.2082
Na4 0.0000 0.0000 0.6466
Na5 0.5000 0.0000 0.5000
Na6 0.5000 0.5000 0.0000
Na7 0.5000 0.2586 0.2688
Na8 0.5000 0.7414 0.7312
Na9 0.5000 0.7414 0.2688
Na10 0.5000 0.2586 0.7312
Tl1 0.0000 0.5000 0.5000
```

Calculated values
DFT total energy	-1.3150	eV per atom
symmetry	Pmmm (47)

(5)
Compound: RbNaTl2
Source: Alexandria
Functional: PBE
Structure: relaxed

Structure (CIF):
```
data_RbNaTl2
_chemical_formula_sum 'Rb1 Na1 Tl2'
_cell_length_a 5.8996
_cell_length_b 5.8996
_cell_length_c 5.8996
_cell_angle_alpha 60.00
_cell_angle_beta 60.00
_cell_angle_gamma 60.00
_symmetry_space_group_name_H-M 'P 1'
_symmetry_Int_Tables_number 1
loop_
_symmetry_equiv_pos_as_xyz
'x,y,z'
loop_
_atom_site_label
_atom_site_fract_x
_atom_site_fract_y
_atom_site_fract_z
Na1 0.0000 0.0000 0.0000
Tl1 0.2500 0.2500 0.2500
Tl2 0.7500 0.7500 0.7500
Rb1 0.5000 0.5000 0.5000
```

Calculated values
DFT total energy	-1.7214	eV per atom
symmetry	Fm-3m (225)
energy above the lowest structure with this stoichiometry	105	meV per atom

(6)
Compound: RbNa3Tl
Source: Alexandria
Functional: PBE
Structure: relaxed

Structure (CIF):
```
data_RbNa3Tl
_chemical_formula_sum 'Rb4 Na12 Tl4'
_cell_length_a 7.9416
_cell_length_b 10.7538
_cell_length_c 10.7538
_cell_angle_alpha 67.96
_cell_angle_beta 79.81
_cell_angle_gamma 79.81
_symmetry_space_group_name_H-M 'P 1'
_symmetry_Int_Tables_number 1
loop_
_symmetry_equiv_pos_as_xyz
'x,y,z'
loop_
_atom_site_label
_atom_site_fract_x
_atom_site_fract_y
_atom_site_fract_z
Rb1 0.2500 0.9681 0.0319
Rb2 0.7500 0.0319 0.9681
Rb3 0.2500 0.3587 0.6413
Rb4 0.7500 0.6413 0.3587
Na1 0.6007 0.6408 0.9697
Na2 0.8993 0.0303 0.3592
Na3 0.3993 0.3592 0.0303
Na4 0.1007 0.9697 0.6408
Na5 0.9153 0.3485 0.0173
Na6 0.5847 0.9827 0.6515
Na7 0.0847 0.6515 0.9827
Na8 0.4153 0.0173 0.3485
Na9 0.4051 0.6799 0.6790
Na10 0.0949 0.3210 0.3201
Na11 0.5949 0.3201 0.3210
Na12 0.9051 0.6790 0.6799
Tl1 0.6936 0.4129 0.7647
Tl2 0.8064 0.2353 0.5871
Tl3 0.3064 0.5871 0.2353
Tl4 0.1936 0.7647 0.4129
```

Calculated values
DFT total energy	-1.4777	eV per atom
symmetry	C2/c (15)
energy above the lowest structure with this stoichiometry	21	meV per atom